First-principles (GGA-PBE) data for a geometry-optimized CsPu3I8 structure, as listed in Alexandria.

Formation energy from raw total energies in eV per atom: -1.1377
SG: C2/m, No. 12

abc: 9.7320 9.7279 9.4362
angles: 121.83 90.00 120.01
Last column: magnetic moment on the atom in μB.
Fractional coordinates of all 12 atoms:
I: 0.2959 0.0253 0.7605  -0.04
Pu: 0.5000 0.5000 0.0000  5.60
I: 0.2706 0.9747 0.2395  -0.04
I: 0.7294 0.0253 0.7605  -0.04
I: 0.7450 0.4900 0.2295  -0.05
Pu: 0.0000 0.5000 0.0000  5.60
Cs: 0.0000 0.0000 0.0000  0.00
I: 0.7295 0.4589 0.7607  -0.04
I: 0.2550 0.5100 0.7705  -0.05
I: 0.2705 0.5411 0.2393  -0.04
Pu: 0.5000 0.0000 0.0000  5.60
I: 0.7041 0.9747 0.2395  -0.04


First-principles (GGA-PBE) data for a geometry-optimized Tc2AgOs structure, as listed in Alexandria.

E_tot in eV for the cell shown: -32.90
SG: Cmm2, No. 35

abc: 2.6904 2.6904 9.5641
angles: 90.00 90.00 116.32
Fractional coordinates of all 4 atoms:
Tc: 0.0000 0.0000 0.0011
Tc: 0.5000 0.5000 0.2338
Os: 0.5000 0.5000 0.7662
Ag: 0.0000 0.0000 0.4989


What did the second record say?
First-principles (GGA-PBE) data for a geometry-optimized Tc2AgOs structure, as listed in Alexandria.

E_tot in eV for the cell shown: -32.90
SG: Cmm2, No. 35

abc: 2.6904 2.6904 9.5641
angles: 90.00 90.00 116.32
Fractional coordinates of all 4 atoms:
Tc: 0.0000 0.0000 0.0011
Tc: 0.5000 0.5000 0.2338
Os: 0.5000 0.5000 0.7662
Ag: 0.0000 0.0000 0.4989